1.
# LaSi3Os PBE relaxed
# Energy relative to the elements, uncorrected   -2.43 eV per formula unit
data_LaSi3Os
_chemical_formula_sum 'La2 Si6 Os2'
_symmetry_space_group_name_H-M 'P m n 21'
_symmetry_Int_Tables_number 31
_symmetry_space_group_name_Hall 'P 2ac -2'
_cell_length_a 6.043
_cell_length_b 5.637
_cell_length_c 5.901
_cell_angle_alpha 90.00
_cell_angle_beta 90.00
_cell_angle_gamma 90.00
loop_
_atom_site_label
_atom_site_type_symbol
_atom_site_fract_x
_atom_site_fract_y
_atom_site_fract_z
_atom_site_occupancy
La1 La 0.000 0.156 0.000 1
Si1 Si 0.000 0.975 0.496 1
Si2 Si 0.212 0.343 0.519 1
Os1 Os 0.000 0.623 0.294 1

2.
# LaSiOs PBE relaxed
# Energy relative to the elements, uncorrected   -1.43 eV per formula unit
data_LaSiOs
_chemical_formula_sum 'La1 Si1 Os1'
_symmetry_space_group_name_H-M 'P -6 m 2'
_symmetry_Int_Tables_number 187
_symmetry_space_group_name_Hall 'P -6 2'
_cell_length_a 4.1540
_cell_length_b 4.1540
_cell_length_c 4.3951
_cell_angle_alpha 90.00
_cell_angle_beta 90.00
_cell_angle_gamma 120.00
loop_
_atom_site_label
_atom_site_type_symbol
_atom_site_fract_x
_atom_site_fract_y
_atom_site_fract_z
_atom_site_occupancy
La1 La 0.0000 0.0000 0.0000 1
Si1 Si 0.6667 0.3333 0.5000 1
Os1 Os 0.3333 0.6667 0.5000 1

3.
# LaSi2Os PBE relaxed
# Energy relative to the elements, uncorrected   1.14 eV per formula unit
data_LaSi2Os
_chemical_formula_sum 'La4 Si8 Os4'
_symmetry_space_group_name_H-M 'F -4 3 m'
_symmetry_Int_Tables_number 216
_symmetry_space_group_name_Hall 'F -4 2 3'
_cell_length_a 6.669
_cell_length_b 6.669
_cell_length_c 6.669
_cell_angle_alpha 90.00
_cell_angle_beta 90.00
_cell_angle_gamma 90.00
loop_
_atom_site_label
_atom_site_type_symbol
_atom_site_fract_x
_atom_site_fract_y
_atom_site_fract_z
_atom_site_occupancy
La1 La 0.000 0.000 0.000 1
Si1 Si 0.000 0.000 0.500 1
Si2 Si 0.250 0.250 0.750 1
Os1 Os 0.250 0.250 0.250 1

4.
# LaSi2Os PBE relaxed
# Energy relative to the elements, uncorrected   1.16 eV per formula unit
data_LaSi2Os
_chemical_formula_sum 'La3 Si6 Os3'
_symmetry_space_group_name_H-M 'R 3 m'
_symmetry_Int_Tables_number 160
_symmetry_space_group_name_Hall 'R 3 -2"'
_cell_length_a 3.0839
_cell_length_b 3.0839
_cell_length_c 26.4058
_cell_angle_alpha 90.00
_cell_angle_beta 90.00
_cell_angle_gamma 120.00
loop_
_atom_site_label
_atom_site_type_symbol
_atom_site_fract_x
_atom_site_fract_y
_atom_site_fract_z
_atom_site_occupancy
La1 La 0.0000 0.0000 0.0000 1
Si1 Si 0.0000 0.0000 0.5027 1
Si2 Si 0.0000 0.0000 0.7656 1
Os1 Os 0.0000 0.0000 0.2328 1

5.
# LaSi2Os PBE relaxed
# Energy relative to the elements, uncorrected   -0.71 eV per formula unit
data_LaSi2Os
_chemical_formula_sum 'La2 Si4 Os2'
_symmetry_space_group_name_H-M 'I m m 2'
_symmetry_Int_Tables_number 44
_symmetry_space_group_name_Hall 'I 2 -2'
_cell_length_a 3.236
_cell_length_b 3.953
_cell_length_c 12.306
_cell_angle_alpha 90.00
_cell_angle_beta 90.00
_cell_angle_gamma 90.00
loop_
_atom_site_label
_atom_site_type_symbol
_atom_site_fract_x
_atom_site_fract_y
_atom_site_fract_z
_atom_site_occupancy
La1 La 0.000 0.000 0.000 1
Si1 Si 0.000 0.000 0.372 1
Si2 Si 0.000 0.500 0.238 1
Os1 Os 0.000 0.500 0.725 1

6.
# La2Si3Os PBE relaxed
# Energy relative to the elements, uncorrected   -3.93 eV per formula unit
data_La2Si3Os
_chemical_formula_sum 'La16 Si24 Os8'
_symmetry_space_group_name_H-M 'F m m m'
_symmetry_Int_Tables_number 69
_symmetry_space_group_name_Hall '-F 2 2'
_cell_length_a 8.382
_cell_length_b 8.675
_cell_length_c 14.387
_cell_angle_alpha 90.00
_cell_angle_beta 90.00
_cell_angle_gamma 90.00
loop_
_atom_site_label
_atom_site_type_symbol
_atom_site_fract_x
_atom_site_fract_y
_atom_site_fract_z
_atom_site_occupancy
La1 La 0.000 0.240 0.000 1
La2 La 0.250 0.250 0.250 1
Si1 Si 0.000 0.000 0.332 1
Si2 Si 0.250 0.000 0.084 1
Os1 Os 0.000 0.000 0.166 1

7.
# LaSi2Os PBE relaxed
# Energy relative to the elements, uncorrected   -2.65 eV per formula unit
data_LaSi2Os
_chemical_formula_sum 'La2 Si4 Os2'
_symmetry_space_group_name_H-M 'C 1 2/m 1'
_symmetry_Int_Tables_number 12
_symmetry_space_group_name_Hall '-C 2y'
_cell_length_a 7.192
_cell_length_b 4.095
_cell_length_c 5.795
_cell_angle_alpha 90.00
_cell_angle_beta 113.84
_cell_angle_gamma 90.00
loop_
_atom_site_label
_atom_site_type_symbol
_atom_site_fract_x
_atom_site_fract_y
_atom_site_fract_z
_atom_site_occupancy
La1 La 0.000 0.000 0.000 1
Si1 Si 0.209 0.000 0.623 1
Os1 Os 0.000 0.500 0.500 1

8.
# LaSiOs PBE relaxed
# Energy relative to the elements, uncorrected   -1.86 eV per formula unit
data_LaSiOs
_chemical_formula_sum 'La4 Si4 Os4'
_symmetry_space_group_name_H-M 'I 4/m m m'
_symmetry_Int_Tables_number 139
_symmetry_space_group_name_Hall '-I 4 2'
_cell_length_a 4.248
_cell_length_b 4.248
_cell_length_c 14.511
_cell_angle_alpha 90.00
_cell_angle_beta 90.00
_cell_angle_gamma 90.00
loop_
_atom_site_label
_atom_site_type_symbol
_atom_site_fract_x
_atom_site_fract_y
_atom_site_fract_z
_atom_site_occupancy
La1 La 0.000 0.000 0.150 1
Si1 Si 0.000 0.000 0.406 1
Os1 Os 0.000 0.500 0.000 1

9.
# La2Si5Os PBE relaxed
# Energy relative to the elements, uncorrected   -4.22 eV per formula unit
data_La2Si5Os
_chemical_formula_sum 'La4 Si10 Os2'
_symmetry_space_group_name_H-M 'I 4 m m'
_symmetry_Int_Tables_number 107
_symmetry_space_group_name_Hall 'I 4 -2'
_cell_length_a 5.902
_cell_length_b 5.902
_cell_length_c 9.217
_cell_angle_alpha 90.00
_cell_angle_beta 90.00
_cell_angle_gamma 90.00
loop_
_atom_site_label
_atom_site_type_symbol
_atom_site_fract_x
_atom_site_fract_y
_atom_site_fract_z
_atom_site_occupancy
La1 La 0.000 0.500 0.000 1
Si1 Si 0.000 0.000 0.445 1
Si2 Si 0.210 0.210 0.248 1
Os1 Os 0.000 0.000 0.702 1

10.
# LaSi3TcOs PBE relaxed
# Energy relative to the elements, uncorrected   -2.45 eV per formula unit
data_LaSi3TcOs
_chemical_formula_sum 'La4 Si12 Tc4 Os4'
_symmetry_space_group_name_H-M 'C m c m'
_symmetry_Int_Tables_number 63
_symmetry_space_group_name_Hall '-C 2c 2'
_cell_length_a 7.578
_cell_length_b 11.117
_cell_length_c 5.683
_cell_angle_alpha 90.00
_cell_angle_beta 90.00
_cell_angle_gamma 90.00
loop_
_atom_site_label
_atom_site_type_symbol
_atom_site_fract_x
_atom_site_fract_y
_atom_site_fract_z
_atom_site_occupancy
La1 La 0.000 0.247 0.250 1
Si1 Si 0.000 0.248 0.750 1
Si2 Si 0.249 0.500 0.000 1
Tc1 Tc 0.000 0.449 0.750 1
Os1 Os 0.000 0.048 0.750 1

11.
# LaSi2TcOs PBE relaxed
# Energy relative to the elements, uncorrected   -3.29 eV per formula unit
data_LaSi2TcOs
_chemical_formula_sum 'La2 Si4 Tc2 Os2'
_symmetry_space_group_name_H-M 'I -4 m 2'
_symmetry_Int_Tables_number 119
_symmetry_space_group_name_Hall 'I -4 -2'
_cell_length_a 4.266
_cell_length_b 4.266
_cell_length_c 9.998
_cell_angle_alpha 90.00
_cell_angle_beta 90.00
_cell_angle_gamma 90.00
loop_
_atom_site_label
_atom_site_type_symbol
_atom_site_fract_x
_atom_site_fract_y
_atom_site_fract_z
_atom_site_occupancy
La1 La 0.000 0.000 0.000 1
Si1 Si 0.000 0.000 0.365 1
Tc1 Tc 0.000 0.500 0.750 1
Os1 Os 0.000 0.500 0.250 1

12.
# LaSm3Os PBE relaxed
# ΔE to the lowest computed polymorph   0.90 eV/f.u.
# Energy of formation from the pure elements   32 kJ/mol of formula units
data_LaSm3Os
_chemical_formula_sum 'La1 Sm3 Os1'
_symmetry_space_group_name_H-M 'P m -3 m'
_symmetry_Int_Tables_number 221
_symmetry_space_group_name_Hall '-P 4 2 3'
_cell_length_a 5.572
_cell_length_b 5.572
_cell_length_c 5.572
_cell_angle_alpha 90.00
_cell_angle_beta 90.00
_cell_angle_gamma 90.00
loop_
_atom_site_label
_atom_site_type_symbol
_atom_site_fract_x
_atom_site_fract_y
_atom_site_fract_z
_atom_site_occupancy
La1 La 0.000 0.000 0.000 1
Sm1 Sm 0.000 0.500 0.500 1
Os1 Os 0.500 0.500 0.500 1

Copy entry 9 word for word.
# La2Si5Os PBE relaxed
# Energy relative to the elements, uncorrected   -4.22 eV per formula unit
data_La2Si5Os
_chemical_formula_sum 'La4 Si10 Os2'
_symmetry_space_group_name_H-M 'I 4 m m'
_symmetry_Int_Tables_number 107
_symmetry_space_group_name_Hall 'I 4 -2'
_cell_length_a 5.902
_cell_length_b 5.902
_cell_length_c 9.217
_cell_angle_alpha 90.00
_cell_angle_beta 90.00
_cell_angle_gamma 90.00
loop_
_atom_site_label
_atom_site_type_symbol
_atom_site_fract_x
_atom_site_fract_y
_atom_site_fract_z
_atom_site_occupancy
La1 La 0.000 0.500 0.000 1
Si1 Si 0.000 0.000 0.445 1
Si2 Si 0.210 0.210 0.248 1
Os1 Os 0.000 0.000 0.702 1